Compound: Ca3TaO6
Source: the Alexandria database
Functional: PBE-GGA
Structure: relaxed

Cell: 6.659 6.659 6.659 Å, 91.75 91.75 91.75°
Element x y z (fractional)
Ca: 0.062 0.565 0.754
Ca: 0.246 0.938 0.435
Ca: 0.435 0.246 0.938
Ca: 0.565 0.754 0.062
Ca: 0.754 0.062 0.565
Ca: 0.938 0.435 0.246
Ta: 0.000 0.000 0.000
Ta: 0.500 0.500 0.500
O: 0.045 0.918 0.713
O: 0.082 0.287 0.955
O: 0.213 0.565 0.433
O: 0.287 0.955 0.082
O: 0.433 0.213 0.565
O: 0.435 0.567 0.787
O: 0.565 0.433 0.213
O: 0.567 0.787 0.435
O: 0.713 0.045 0.918
O: 0.787 0.435 0.567
O: 0.918 0.713 0.045
O: 0.955 0.082 0.287

Computed properties:
For the raw formation energy, the calculation gives -2.842 eV/atom. The crystal system is trigonal. Its symmetry is No. 148.



Compound: La4TbPr4
Source: the Alexandria database
Functional: PBE-GGA
Structure: relaxed

Cell: 6.431 6.431 11.121 Å, 107.14 107.14 48.24°
Element x y z (fractional)
La: 0.164 0.164 0.220
La: 0.169 0.169 0.557
La: 0.831 0.831 0.443
La: 0.836 0.836 0.780
Tb: 0.500 0.500 0.000
Pr: 0.169 0.169 0.891
Pr: 0.499 0.499 0.331
Pr: 0.501 0.501 0.669
Pr: 0.831 0.831 0.109

Computed properties:
The electronic total energy comes out at -43.32 eV per cell. The crystal system is monoclinic. Its symmetry is No. 12.



Compound: La4SnIr2
Source: the Alexandria database
Functional: PBE-GGA
Structure: relaxed

Cell: 9.672 8.366 8.357 Å, 70.67 54.71 54.62°
Element x y z (fractional)
La: 0.147 0.285 0.286
La: 0.217 0.714 0.715
La: 0.285 0.147 0.783
La: 0.286 0.783 0.147
La: 0.714 0.217 0.853
La: 0.715 0.853 0.217
La: 0.783 0.286 0.285
La: 0.853 0.715 0.714
Sn: 0.375 0.375 0.375
Sn: 0.625 0.625 0.625
Ir: 0.000 0.000 0.000
Ir: 0.000 0.000 0.500
Ir: 0.000 0.500 0.000
Ir: 0.500 0.000 0.000

Computed properties:
As for the distance to the lowest polymorph of the same formula: 99 meV per atom. The crystal system is orthorhombic. Its symmetry is No. 70.



Compound: Nd2MgSn3Pt4
Source: the Alexandria database
Functional: PBE-GGA
Structure: relaxed

Cell: 4.552 4.552 10.783 Å, 90.00 90.00 90.00°
Element x y z (fractional)
Nd: 0.000 0.500 0.241
Nd: 0.500 0.000 0.759
Mg: 0.000 0.000 0.500
Sn: 0.000 0.500 0.870
Sn: 0.500 0.000 0.130
Sn: 0.500 0.500 0.500
Pt: 0.000 0.000 0.000
Pt: 0.000 0.500 0.630
Pt: 0.500 0.000 0.370
Pt: 0.500 0.500 0.000

Computed properties:
The electronic total energy comes out at -55.90 eV per cell. The crystal system is tetragonal. Its symmetry is No. 115.



Compound: Dy5Y3Sc2
Source: the Alexandria database
Functional: PBE-GGA
Structure: relaxed

Cell: 9.467 9.467 9.216 Å, 108.64 108.64 112.07°
Element x y z (fractional)
Dy: 0.022 0.978 0.750
Dy: 0.104 0.390 0.736
Dy: 0.218 0.782 0.750
Dy: 0.283 0.717 0.250
Dy: 0.390 0.104 0.236
Dy: 0.610 0.896 0.764
Dy: 0.717 0.283 0.750
Dy: 0.782 0.218 0.250
Dy: 0.896 0.610 0.264
Dy: 0.978 0.022 0.250
Y: 0.022 0.280 0.045
Y: 0.280 0.022 0.545
Y: 0.485 0.515 0.250
Y: 0.515 0.485 0.750
Y: 0.720 0.978 0.455
Y: 0.978 0.720 0.955
Sc: 0.218 0.490 0.452
Sc: 0.490 0.218 0.952
Sc: 0.510 0.782 0.048
Sc: 0.782 0.510 0.548

Computed properties:
The electronic total energy comes out at -106.10 eV per cell. The crystal system is monoclinic. Its symmetry is No. 15.



Compound: ZrBiTe
Source: the Alexandria database
Functional: PBE-GGA
Structure: relaxed

Cell: 3.744 3.744 11.403 Å, 90.00 90.00 90.00°
Element x y z (fractional)
Zr: 0.000 0.000 0.000
Zr: 0.500 0.500 0.500
Bi: 0.000 0.000 0.326
Bi: 0.500 0.500 0.826
Te: 0.000 0.000 0.618
Te: 0.500 0.500 0.118

Computed properties:
For the raw formation energy, the calculation gives -0.457 eV/atom. The crystal system is tetragonal. Its symmetry is No. 107.



Compound: AcAsS2
Source: the Alexandria database
Functional: PBE-GGA
Structure: relaxed

Cell: 3.941 3.941 25.443 Å, 90.00 90.00 120.00°
Element x y z (fractional)
Ac: 0.000 0.000 0.000
Ac: 0.333 0.667 0.667
Ac: 0.667 0.333 0.333
As: 0.000 0.000 0.500
As: 0.333 0.667 0.167
As: 0.667 0.333 0.833
S: 0.000 0.000 0.115
S: 0.000 0.000 0.885
S: 0.333 0.667 0.552
S: 0.333 0.667 0.781
S: 0.667 0.333 0.219
S: 0.667 0.333 0.448

Computed properties:
For the raw formation energy, the calculation gives -0.322 eV/atom. The crystal system is trigonal. Its symmetry is No. 166.



Compound: CsInSN2
Source: the Alexandria database
Functional: PBE-GGA
Structure: relaxed

Cell: 4.720 4.720 5.207 Å, 90.00 90.00 90.00°
Element x y z (fractional)
Cs: 0.000 0.000 0.000
In: 0.500 0.500 0.500
S: 0.500 0.500 0.000
N: 0.000 0.500 0.500
N: 0.500 0.000 0.500

Computed properties:
As for the distance to the lowest polymorph of the same formula: 0 meV per atom. For the raw formation energy, the calculation gives 0.963 eV/atom. The crystal system is tetragonal. Its symmetry is No. 123.



Compound: KPb3
Source: the Alexandria database
Functional: PBE-GGA
Structure: relaxed

Cell: 6.464 6.464 6.464 Å, 90.00 90.00 90.00°
Element x y z (fractional)
K: 0.000 0.000 0.000
K: 0.500 0.500 0.500
Pb: 0.000 0.250 0.500
Pb: 0.000 0.750 0.500
Pb: 0.250 0.500 0.000
Pb: 0.500 0.000 0.250
Pb: 0.500 0.000 0.750
Pb: 0.750 0.500 0.000

Computed properties:
The electronic total energy comes out at -23.88 eV per cell. The crystal system is cubic. Its symmetry is No. 223.



Compound: Hg5Ge2Au4
Source: the Alexandria database
Functional: PBE-GGA
Structure: relaxed

Cell: 8.619 8.619 8.109 Å, 104.35 104.35 29.19°
Element x y z (fractional)
Hg: 0.000 0.000 0.000
Hg: 0.319 0.319 0.999
Hg: 0.346 0.346 0.575
Hg: 0.654 0.654 0.425
Hg: 0.681 0.681 0.001
Ge: 0.045 0.045 0.651
Ge: 0.955 0.955 0.349
Au: 0.198 0.198 0.686
Au: 0.485 0.485 0.211
Au: 0.515 0.515 0.789
Au: 0.802 0.802 0.314

Computed properties:
The electronic total energy comes out at -23.24 eV per cell. The crystal system is monoclinic. Its symmetry is No. 12.



Compound: PrCd9Au2
Source: the Alexandria database
Functional: PBE-GGA
Structure: relaxed

Cell: 9.221 9.221 9.221 Å, 99.72 99.72 131.48°
Element x y z (fractional)
Pr: 0.375 0.625 0.750
Pr: 0.625 0.375 0.250
Cd: 0.124 0.554 0.330
Cd: 0.124 0.795 0.570
Cd: 0.125 0.875 0.250
Cd: 0.205 0.276 0.330
Cd: 0.205 0.876 0.930
Cd: 0.276 0.205 0.830
Cd: 0.276 0.446 0.070
Cd: 0.446 0.276 0.570
Cd: 0.446 0.876 0.170
Cd: 0.554 0.124 0.830
Cd: 0.554 0.724 0.430
Cd: 0.724 0.554 0.930
Cd: 0.724 0.795 0.170
Cd: 0.795 0.124 0.070
Cd: 0.795 0.724 0.670
Cd: 0.875 0.125 0.750
Cd: 0.876 0.205 0.430
Cd: 0.876 0.446 0.670
Au: 0.000 0.000 0.000
Au: 0.000 0.000 0.500
Au: 0.000 0.500 0.000
Au: 0.500 0.000 0.500

Computed properties:
The electronic total energy comes out at -44.37 eV per cell. The crystal system is tetragonal. Its symmetry is No. 141.



Compound: Ac4Tl2Cu
Source: the Alexandria database
Functional: PBE-GGA
Structure: relaxed

Cell: 18.874 4.080 7.309 Å, 90.00 112.51 90.00°
Element x y z (fractional)
Ac: 0.087 0.000 0.425
Ac: 0.122 0.500 0.956
Ac: 0.378 0.000 0.044
Ac: 0.413 0.500 0.575
Ac: 0.587 0.500 0.425
Ac: 0.622 0.000 0.956
Ac: 0.878 0.500 0.044
Ac: 0.913 0.000 0.575
Tl: 0.244 0.500 0.678
Tl: 0.256 0.000 0.322
Tl: 0.744 0.000 0.678
Tl: 0.756 0.500 0.322
Cu: 0.000 0.000 0.000
Cu: 0.500 0.500 0.000

Computed properties:
As for the distance to the lowest polymorph of the same formula: 50 meV per atom. The crystal system is monoclinic. Its symmetry is No. 12.



Compound: Pr2ErNpN4
Source: the Alexandria database
Functional: PBE-GGA
Structure: relaxed

Cell: 6.062 3.540 6.184 Å, 90.00 108.65 90.00°
Element x y z (fractional)
Pr: 0.000 0.000 0.000
Pr: 0.500 0.500 0.000
Er: 0.000 0.500 0.500
Np: 0.500 0.000 0.500
N: 0.257 0.000 0.715
N: 0.268 0.500 0.284
N: 0.732 0.500 0.716
N: 0.743 0.000 0.285

Computed properties:
For the raw formation energy, the calculation gives -1.385 eV/atom. The crystal system is monoclinic. Its symmetry is No. 10.



Compound: Nb2Os2Ru5
Source: the Alexandria database
Functional: PBE-GGA
Structure: relaxed

Cell: 2.885 6.620 7.209 Å, 90.30 90.02 90.01°
Element x y z (fractional)
Nb: 0.001 0.303 0.366
Nb: 0.999 0.697 0.634
Os: 0.001 0.950 0.174
Os: 0.999 0.050 0.826
Ru: 0.500 0.000 0.500
Ru: 0.500 0.294 0.045
Ru: 0.500 0.367 0.686
Ru: 0.500 0.633 0.314
Ru: 0.500 0.706 0.955

Computed properties:
The electronic total energy comes out at -88.02 eV per cell. The crystal system is triclinic. Its symmetry is No. 2.



Compound: BaTlGa
Source: the Alexandria database
Functional: PBE-GGA
Structure: relaxed

Cell: 4.774 4.774 5.217 Å, 90.00 90.00 120.00°
Element x y z (fractional)
Ba: 0.000 0.000 0.000
Tl: 0.667 0.333 0.474
Ga: 0.333 0.667 0.542

Computed properties:
The electronic total energy comes out at -8.37 eV per cell. The crystal system is trigonal. Its symmetry is No. 156.



Compound: Ta2AlGa
Source: the Alexandria database
Functional: PBE-GGA
Structure: relaxed

Cell: 2.837 7.474 6.290 Å, 90.00 90.00 90.00°
Element x y z (fractional)
Ta: 0.000 0.203 0.000
Ta: 0.000 0.297 0.500
Ta: 0.000 0.703 0.500
Ta: 0.000 0.797 0.000
Al: 0.500 0.000 0.701
Al: 0.500 0.500 0.201
Ga: 0.500 0.000 0.299
Ga: 0.500 0.500 0.799

Computed properties:
The electronic total energy comes out at -62.18 eV per cell. The crystal system is orthorhombic. Its symmetry is No. 38.



Compound: Ti2Sn2Te
Source: the Alexandria database
Functional: PBE-GGA
Structure: relaxed

Cell: 3.989 3.989 14.172 Å, 90.00 90.00 90.00°
Element x y z (fractional)
Ti: 0.000 0.000 0.098
Ti: 0.000 0.000 0.902
Ti: 0.500 0.500 0.402
Ti: 0.500 0.500 0.598
Sn: 0.000 0.500 0.250
Sn: 0.000 0.500 0.750
Sn: 0.500 0.000 0.250
Sn: 0.500 0.000 0.750
Te: 0.000 0.000 0.500
Te: 0.500 0.500 0.000

Computed properties:
As for the distance to the lowest polymorph of the same formula: 86 meV per atom. For the raw formation energy, the calculation gives -0.138 eV/atom. The crystal system is tetragonal. Its symmetry is No. 139.



Compound: AcHo2TmS4
Source: the Alexandria database
Functional: PBE-GGA
Structure: relaxed

Cell: 6.849 3.918 7.062 Å, 90.00 108.60 90.00°
Element x y z (fractional)
Ac: 0.000 0.000 0.000
Ho: 0.500 0.000 0.500
Ho: 0.500 0.500 0.000
Tm: 0.000 0.500 0.500
S: 0.256 0.000 0.735
S: 0.269 0.500 0.274
S: 0.731 0.500 0.726
S: 0.744 0.000 0.265

Computed properties:
For the raw formation energy, the calculation gives -1.917 eV/atom. The crystal system is monoclinic. Its symmetry is No. 10.



Compound: Dy2MnPd
Source: the Alexandria database
Functional: PBE-GGA
Structure: relaxed

Cell: 3.506 3.506 6.973 Å, 90.00 90.00 90.00°
Element x y z (fractional)
Dy: 0.000 0.000 0.250
Dy: 0.000 0.000 0.750
Mn: 0.500 0.500 0.000
Pd: 0.500 0.500 0.500

Computed properties:
As for the distance to the lowest polymorph of the same formula: 0 meV per atom. The crystal system is tetragonal. Its symmetry is No. 123.



Compound: In2NiOs
Source: the Alexandria database
Functional: PBE-GGA
Structure: relaxed

Cell: 3.029 3.029 26.533 Å, 90.00 90.00 120.00°
Element x y z (fractional)
In: 0.000 0.000 0.000
In: 0.000 0.000 0.232
In: 0.333 0.667 0.667
In: 0.333 0.667 0.899
In: 0.667 0.333 0.333
In: 0.667 0.333 0.566
Ni: 0.000 0.000 0.487
Ni: 0.333 0.667 0.154
Ni: 0.667 0.333 0.821
Os: 0.000 0.000 0.752
Os: 0.333 0.667 0.419
Os: 0.667 0.333 0.085

Computed properties:
The electronic total energy comes out at -62.04 eV per cell. The crystal system is trigonal. Its symmetry is No. 160.



Compound: Ba2AsP
Source: the Alexandria database
Functional: PBE-GGA
Structure: relaxed

Cell: 11.489 4.591 5.065 Å, 90.00 98.37 90.00°
Element x y z (fractional)
Ba: 0.000 0.000 0.000
Ba: 0.243 0.500 0.533
Ba: 0.500 0.500 0.000
Ba: 0.743 0.000 0.533
As: 0.455 0.000 0.438
As: 0.955 0.500 0.438
P: 0.284 0.000 0.102
P: 0.784 0.500 0.102

Computed properties:
As for the distance to the lowest polymorph of the same formula: 0 meV per atom. The crystal system is monoclinic. Its symmetry is No. 8.



Compound: Ca2FeTc
Source: the Alexandria database
Functional: PBE-GGA
Structure: relaxed

Cell: 7.057 7.057 7.057 Å, 90.00 90.00 90.00°
Element x y z (fractional)
Ca: 0.250 0.250 0.250
Ca: 0.250 0.250 0.750
Ca: 0.250 0.750 0.250
Ca: 0.250 0.750 0.750
Ca: 0.750 0.250 0.250
Ca: 0.750 0.250 0.750
Ca: 0.750 0.750 0.250
Ca: 0.750 0.750 0.750
Fe: 0.000 0.000 0.000
Fe: 0.000 0.500 0.500
Fe: 0.500 0.000 0.500
Fe: 0.500 0.500 0.000
Tc: 0.000 0.000 0.500
Tc: 0.000 0.500 0.000
Tc: 0.500 0.000 0.000
Tc: 0.500 0.500 0.500

Computed properties:
As for the distance to the lowest polymorph of the same formula: 497 meV per atom. The crystal system is cubic. Its symmetry is No. 225.



Compound: NaLiTlHg
Source: the Alexandria database
Functional: PBE-GGA
Structure: relaxed

Cell: 7.191 7.191 7.191 Å, 90.00 90.00 90.00°
Element x y z (fractional)
Na: 0.000 0.000 0.000
Na: 0.000 0.500 0.500
Na: 0.500 0.000 0.500
Na: 0.500 0.500 0.000
Li: 0.250 0.250 0.750
Li: 0.250 0.750 0.250
Li: 0.750 0.250 0.250
Li: 0.750 0.750 0.750
Tl: 0.250 0.250 0.250
Tl: 0.250 0.750 0.750
Tl: 0.750 0.250 0.750
Tl: 0.750 0.750 0.250
Hg: 0.000 0.000 0.500
Hg: 0.000 0.500 0.000
Hg: 0.500 0.000 0.000
Hg: 0.500 0.500 0.500

Computed properties:
As for the distance to the lowest polymorph of the same formula: 41 meV per atom. The crystal system is cubic. Its symmetry is No. 216.



Compound: KZnGa2Co
Source: the Alexandria database
Functional: PBE-GGA
Structure: relaxed

Cell: 4.627 4.627 4.831 Å, 90.00 90.00 90.00°
Element x y z (fractional)
K: 0.000 0.000 0.000
Zn: 0.500 0.500 0.000
Ga: 0.000 0.500 0.500
Ga: 0.500 0.000 0.500
Co: 0.500 0.500 0.500

Computed properties:
As for the distance to the lowest polymorph of the same formula: 0 meV per atom. The crystal system is tetragonal. Its symmetry is No. 123.



| no. | D(E_F) (states/eV/cell) |
| --- | --- |
| 1 | 16.45 |
| 2 | 16.53 |
| 3 | 12.58 |
| 4 | 5.31 |
| 5 | 34.34 |
| 6 | 3.87 |
| 7 | 6.65 |
| 8 | 2.65 |
| 9 | 6.70 |
| 10 | 2.18 |
| 11 | 5.92 |
| 12 | 16.58 |
| 13 | 5.60 |
| 14 | 9.46 |
| 15 | 1.73 |
| 16 | 3.45 |
| 17 | 2.97 |
| 18 | 4.25 |
| 19 | 4.22 |
| 20 | 11.67 |
| 21 | 0.33 |
| 22 | 29.44 |
| 23 | 6.42 |
| 24 | 1.26 |